{"formula": "Sm2PdPt", "functional": "GGA-PBE", "state": "optimized geometry", "lattice": [[5.701, 0.000, 0.000], [0.000, 4.569, 0.000], [-2.587, 0.000, 7.233]], "species": ["Sm", "Sm", "Sm", "Sm", "Pd", "Pd", "Pt", "Pt"], "frac_coords": [[0.223, 0.250, 0.434], [0.229, 0.250, 0.929], [0.771, 0.750, 0.071], [0.777, 0.750, 0.566], [0.323, 0.750, 0.206], [0.677, 0.250, 0.794], [0.330, 0.750, 0.707], [0.670, 0.250, 0.293]], "total_magnetization_mub_per_fu": 0.00, "space_group": "P2_1/m (11)", "volume_a3_per_atom": 23.6, "final_energy_ev_per_atom": -6.2012}